KSc2AgBr8 | Alexandria via LeMat-Bulk | PBE | optimized geometry; calculated volume = 32.88 Å³ per atom; mass density = 3.69 Mg/m³; space group = No. 2; density of states at the Fermi level = 0.00 states/eV/f.u.; crystal system = triclinic; E_form (uncorrected) = -1.429 eV/atom; total moment = 0.000 μB per formula unit
1.0
-2.2698 -0.7865 -6.6557
-6.0486 -3.0286 1.4375
-3.5739 7.3021 0.3434
Br Sc Ag K
8 2 1 1
Cartesian
-6.1111 6.1622 -1.7739 Br
-4.4058 2.4768 -1.9514 Br
-7.4864 1.0102 -2.9235 Br
-5.5281 -0.6369 -0.0039 Br
-4.4058 0.1518 -5.0569 Br
-6.3641 4.1239 -4.8710 Br
-5.7811 -2.6751 -3.1009 Br
-7.4864 3.3353 0.1820 Br
-5.0235 -0.1373 -2.5246 Sc
-6.8687 3.6244 -2.3503 Sc
0.0000 0.0000 0.0000 Ag
-1.7869 3.6510 0.1717 K

---

K3ScAg2Br9 | Alexandria via LeMat-Bulk | PBE | optimized geometry; calculated volume = 32.79 Å³ per atom; mass density = 3.70 Mg/m³; space group = No. 164; density of states at the Fermi level = 6.99 states/eV/f.u.; crystal system = trigonal; E_form (uncorrected) = -1.214 eV/atom; total moment = 0.001 μB per formula unit
1.0
-3.2204 -3.8545 -5.8474
1.5699 -3.6361 6.6132
-8.6836 2.2506 3.2988
K Ag Br Sc
3 2 9 1
Cartesian
0.0000 0.0000 0.0000 K
-6.0968 -2.1358 4.7656 K
-4.2373 -3.1043 -0.7010 K
-1.4419 -3.3422 2.9972 Ag
-8.8923 -1.8979 1.0674 Ag
-2.9599 -1.0416 2.3167 Br
-1.6102 -1.9273 -2.9237 Br
-6.5271 -0.3539 1.3548 Br
-3.8070 -4.8861 2.7097 Br
-0.8252 -3.7453 0.3829 Br
-2.1542 -2.9078 5.7109 Br
0.7849 -1.8181 3.3066 Br
-8.1799 -2.3323 -1.6463 Br
-7.3742 -4.1985 1.7479 Br
-4.3418 1.1253 1.6494 Sc

---

KAgSeBr2 | Alexandria via LeMat-Bulk | PBE | optimized geometry; calculated volume = 31.72 Å³ per atom; mass density = 4.04 Mg/m³; space group = No. 123; density of states at the Fermi level = 4.54 states/eV/f.u.; crystal system = tetragonal; E_form (uncorrected) = -0.513 eV/atom; total moment = 1.207 μB per formula unit
1.0
5.5699 0.0000 0.0000
0.0000 5.5699 0.0000
0.0000 0.0000 5.1120
Se Br K Ag
1 2 1 1
Cartesian
0.0000 0.0000 2.5560 Se
0.0000 2.7850 0.0000 Br
2.7850 0.0000 0.0000 Br
2.7850 2.7850 2.5560 K
0.0000 0.0000 0.0000 Ag